# 1
# AlCr2Se

A geometry-optimized AlCr2Se structure (PBE, the Alexandria database).

a = 4.308 Å, b = 4.308 Å, c = 3.061 Å
α = 90.00°, β = 90.00°, γ = 90.00°
Space group P4/mmm (No. 123)
Inequivalent atoms, fractional coordinates:
Al: 0.000 0.000 0.000
Cr: 0.000 0.500 0.500
Se: 0.500 0.500 0.000

Its density of states at the Fermi level is 0.823 states/eV/atom. As for the energy relative to the elements, uncorrected: 0.221 eV/atom. As for the total energy: -6.398 eV/atom.

# 2
# LiMg4Pa3N8

A geometry-optimized LiMg4Pa3N8 structure (PBE, the Alexandria database).

a = 6.8305 Å, b = 6.8305 Å, c = 15.6098 Å
α = 90.00°, β = 90.00°, γ = 120.00°
Space group R-3m (No. 166, hexagonal axes)
Inequivalent atoms, fractional coordinates:
Li: 0.0000 0.0000 0.0000
Mg: 0.0000 0.0000 0.5000
Mg: 0.0000 0.5000 0.5000
Pa: 0.0000 0.5000 0.0000
N: 0.0000 0.0000 0.2494
N: 0.0214 0.5107 0.2543

Its density of states at the Fermi level is 0.000 states/eV/atom. As for the energy relative to the elements, uncorrected: -1.156 eV/atom. As for the total energy: -7.617 eV/atom.

# 3
# Na2YRe2

A geometry-optimized Na2YRe2 structure (PBE, the Alexandria database).

a = 4.065 Å, b = 4.065 Å, c = 14.282 Å
α = 90.00°, β = 90.00°, γ = 90.00°
Space group I4/mmm (No. 139)
Inequivalent atoms, fractional coordinates:
Na: 0.000 0.500 0.250
Y: 0.000 0.000 0.000
Re: 0.000 0.000 0.422

Its density of states at the Fermi level is 0.723 states/eV/atom. As for the total energy: -5.937 eV/atom. For the energy relative to the elements, the calculation gives 862.2 meV/atom.

# 4
# LiTaS2

A geometry-optimized LiTaS2 structure (PBE, the Alexandria database).

a = 6.219 Å, b = 6.219 Å, c = 6.219 Å
α = 90.00°, β = 90.00°, γ = 90.00°
Space group Fm-3m (No. 225)
Inequivalent atoms, fractional coordinates:
Li: 0.000 0.000 0.000
Ta: 0.000 0.000 0.500
S: 0.250 0.250 0.250

Its density of states at the Fermi level is 0.222 states/eV/atom. As for the energy relative to the elements, uncorrected: -0.603 eV/atom. As for the total energy: -6.108 eV/atom.

# 5
# CsScGaSe2

A geometry-optimized CsScGaSe2 structure (PBE, the Alexandria database).

a = 5.546 Å, b = 5.546 Å, c = 5.022 Å
α = 90.00°, β = 90.00°, γ = 90.00°
Space group P4/mmm (No. 123)
Inequivalent atoms, fractional coordinates:
Cs: 0.000 0.000 0.000
Sc: 0.500 0.500 0.000
Ga: 0.500 0.500 0.500
Se: 0.000 0.500 0.500

Its density of states at the Fermi level is 0.643 states/eV/atom. As for the energy relative to the elements, uncorrected: -0.181 eV/atom. As for the total energy: -3.617 eV/atom.

# 6
# AcSn2Pd4Pt

A geometry-optimized AcSn2Pd4Pt structure (PBE, the Alexandria database).

a = 4.5258 Å, b = 4.5258 Å, c = 27.6875 Å
α = 90.00°, β = 90.00°, γ = 120.00°
Space group R-3m (No. 166, hexagonal axes)
Inequivalent atoms, fractional coordinates:
Ac: 0.0000 0.0000 0.0000
Sn: 0.0000 0.0000 0.2315
Pd: 0.0000 0.0000 0.1281
Pd: 0.0000 0.0000 0.4005
Pt: 0.0000 0.0000 0.5000

Its density of states at the Fermi level is 0.634 states/eV/atom. As for the total energy: -5.446 eV/atom. For the energy relative to the elements, the calculation gives -579.7 meV/atom.

# 7
# BaLiZr3

A geometry-optimized BaLiZr3 structure (PBE, the Alexandria database).

a = 5.099 Å, b = 5.099 Å, c = 5.099 Å
α = 90.00°, β = 90.00°, γ = 90.00°
Space group Pm-3m (No. 221)
Inequivalent atoms, fractional coordinates:
Ba: 0.000 0.000 0.000
Li: 0.500 0.500 0.500
Zr: 0.000 0.500 0.500

Its density of states at the Fermi level is 1.339 states/eV/atom. As for the total energy: -5.051 eV/atom. For the energy relative to the elements, the calculation gives 845.2 meV/atom.

# 8
# Tl2In3S6

A geometry-optimized Tl2In3S6 structure (PBE, the Alexandria database).

a = 6.712 Å, b = 11.637 Å, c = 7.443 Å
α = 90.00°, β = 108.14°, γ = 90.00°
Space group C2/m (No. 12)
Inequivalent atoms, fractional coordinates:
Tl: 0.000 0.166 0.000
In: 0.000 0.000 0.500
In: 0.000 0.329 0.500
S: 0.236 0.500 0.699
S: 0.238 0.167 0.708

Its density of states at the Fermi level is 0.355 states/eV/atom. As for the energy relative to the elements, uncorrected: -0.467 eV/atom. As for the total energy: -3.895 eV/atom.

Question: What is the total energy in the eighth record?
Answer: -3.895 eV/atom

Question: The lowest total energy belongs to which entry?
Answer: LiMg4Pa3N8

Question: Among the records above, which one has the highest total energy?
Answer: CsScGaSe2